(1)
A relaxed AcMg5 crystal, computed with PBE-GGA.

The structure in POSCAR format:
```
AcMg5
1.0
5.1764 0.0000 0.0000
0.0000 12.4346 0.0000
0.0000 0.0000 5.1458
Ac Mg
2 10
direct
0.0000 0.0000 0.0000
0.5000 0.5000 0.0000
0.0000 0.1796 0.5000
0.0000 0.3164 0.0000
0.0000 0.5000 0.5000
0.0000 0.6836 0.0000
0.0000 0.8204 0.5000
0.5000 0.0000 0.5000
0.5000 0.1836 0.0000
0.5000 0.3204 0.5000
0.5000 0.6796 0.5000
0.5000 0.8164 0.0000
```

Computed properties:
E_form, eV per atom: 0.005
Space group: Cmmm
Raw total energy, eV for the cell shown: -24.11

(2)
A relaxed Na2ZnCl4 crystal, computed with PBE-GGA.

The structure in POSCAR format:
```
Na2ZnCl4
1.0
0.0000 6.3367 7.4654
3.9582 0.0000 7.4654
3.9582 6.3367 0.0000
Na Zn Cl
4 2 8
direct
0.0762 0.6738 0.0762
0.3262 0.9238 0.3262
0.6738 0.0762 0.6738
0.9238 0.3262 0.9238
0.3750 0.3750 0.3750
0.6250 0.6250 0.6250
0.1748 0.7341 0.3419
0.2492 0.3419 0.7341
0.2659 0.8252 0.7508
0.3419 0.2492 0.1748
0.6581 0.7508 0.8252
0.7341 0.1748 0.2492
0.7508 0.6581 0.2659
0.8252 0.2659 0.6581
```

Computed properties:
Space group: Fddd
Energy relative to the elements, uncorrected, eV per atom: -1.5190
ΔE to the lowest computed polymorph, eV/atom: 0.028
Raw total energy, eV for the cell shown: -43.86